Record 1
# ErNb3C4 | the Alexandria database | PBE | optimized geometry
# Formation energy   -0.46 eV/atom
# Total magnetization   0.000 μB/atom
data_ErNb3C4
_space_group_name_H-M_alt 'C m m m'
_space_group_IT_number 65
_space_group_name_Hall '-C 2 2'
_cell_length_a 6.545
_cell_length_b 9.198
_cell_length_c 3.236
_cell_angle_alpha 90.00
_cell_angle_beta 90.00
_cell_angle_gamma 90.00
loop_
_atom_site_label
_atom_site_type_symbol
_atom_site_fract_x
_atom_site_fract_y
_atom_site_fract_z
_atom_site_occupancy
Er1 Er 0.000 0.000 0.000 1
Nb1 Nb 0.000 0.500 0.000 1
Nb2 Nb 0.250 0.250 0.500 1
C1 C 0.000 0.257 0.000 1
C2 C 0.234 0.500 0.500 1


Record 2
# TaSb2Cl | the Alexandria database | PBE | optimized geometry
# Offset from the most stable computed form   0.3977 eV/atom
# Total magnetization   0.000 μB/atom
# Energy relative to the elements, uncorrected   0.23 eV/atom
data_TaSb2Cl
_space_group_name_H-M_alt 'I m m m'
_space_group_IT_number 71
_space_group_name_Hall '-I 2 2'
_cell_length_a 2.944
_cell_length_b 4.746
_cell_length_c 16.147
_cell_angle_alpha 90.00
_cell_angle_beta 90.00
_cell_angle_gamma 90.00
loop_
_atom_site_label
_atom_site_type_symbol
_atom_site_fract_x
_atom_site_fract_y
_atom_site_fract_z
_atom_site_occupancy
Ta1 Ta 0.000 0.000 0.000 1
Sb1 Sb 0.000 0.500 0.344 1
Cl1 Cl 0.000 0.000 0.500 1


Record 3
# Ho4AlTlAg2 | the Alexandria database | PBE | optimized geometry
# Formation energy   -0.35 eV/atom
# Total magnetization   0.000 μB/atom
data_Ho4AlTlAg2
_space_group_name_H-M_alt 'R -3 m'
_space_group_IT_number 166
_space_group_name_Hall '-R 3 2"'
_cell_length_a 5.1798
_cell_length_b 5.1798
_cell_length_c 25.4663
_cell_angle_alpha 90.00
_cell_angle_beta 90.00
_cell_angle_gamma 120.00
loop_
_atom_site_label
_atom_site_type_symbol
_atom_site_fract_x
_atom_site_fract_y
_atom_site_fract_z
_atom_site_occupancy
Ho1 Ho 0.0000 0.0000 0.1225 1
Ho2 Ho 0.0000 0.0000 0.3729 1
Al1 Al 0.0000 0.0000 0.0000 1
Tl1 Tl 0.0000 0.0000 0.5000 1
Ag1 Ag 0.0000 0.0000 0.2531 1


Record 4
# TcI2Br6 | the Alexandria database | PBE | optimized geometry
# Total magnetization   0.332 μB/atom
# Energy relative to the elements, uncorrected   -0.17 eV/atom
data_TcI2Br6
_space_group_name_H-M_alt 'C 1 2/c 1'
_space_group_IT_number 15
_cell_length_a 15.391
_cell_length_b 13.609
_cell_length_c 7.351
_cell_angle_alpha 90.00
_cell_angle_beta 95.47
_cell_angle_gamma 90.00
loop_
_space_group_symop_operation_xyz
'x,y,z'
'-x,-y,-z'
'-x,y,-z+1/2'
'x,-y,z+1/2'
'x+1/2,y+1/2,z'
'-x+1/2,-y+1/2,-z'
'-x+1/2,y+1/2,-z+1/2'
'x+1/2,-y+1/2,z+1/2'
loop_
_atom_site_label
_atom_site_type_symbol
_atom_site_fract_x
_atom_site_fract_y
_atom_site_fract_z
_atom_site_occupancy
Tc1 Tc 0.000 0.071 0.250 1
I1 I 0.142 0.500 0.154 1
Br1 Br 0.086 0.066 0.959 1
Br2 Br 0.104 0.191 0.378 1
Br3 Br 0.141 0.353 0.903 1


Record 5
# HfTiAlCu | the Alexandria database | PBE | optimized geometry
# Formation energy   -0.18 eV/atom
# Total magnetization   0.000 μB/atom
data_HfTiAlCu
_space_group_name_H-M_alt 'F -4 3 m'
_space_group_IT_number 216
_space_group_name_Hall 'F -4 2 3'
_cell_length_a 6.448
_cell_length_b 6.448
_cell_length_c 6.448
_cell_angle_alpha 90.00
_cell_angle_beta 90.00
_cell_angle_gamma 90.00
loop_
_atom_site_label
_atom_site_type_symbol
_atom_site_fract_x
_atom_site_fract_y
_atom_site_fract_z
_atom_site_occupancy
Hf1 Hf 0.000 0.000 0.000 1
Ti1 Ti 0.000 0.000 0.500 1
Al1 Al 0.250 0.250 0.750 1
Cu1 Cu 0.250 0.250 0.250 1


Record 6
# HfCdRe2F | the Alexandria database | PBE | optimized geometry
# Total magnetization   0.000 μB/atom
# Energy relative to the elements, uncorrected   0.63 eV/atom
data_HfCdRe2F
_space_group_name_H-M_alt 'P 4/m m m'
_space_group_IT_number 123
_space_group_name_Hall '-P 4 2'
_cell_length_a 4.364
_cell_length_b 4.364
_cell_length_c 4.295
_cell_angle_alpha 90.00
_cell_angle_beta 90.00
_cell_angle_gamma 90.00
loop_
_atom_site_label
_atom_site_type_symbol
_atom_site_fract_x
_atom_site_fract_y
_atom_site_fract_z
_atom_site_occupancy
Hf1 Hf 0.000 0.000 0.000 1
Cd1 Cd 0.500 0.500 0.000 1
Re1 Re 0.000 0.500 0.500 1
F1 F 0.000 0.000 0.500 1